Entry from the Alexandria database: a relaxed MnReSe2 crystal (PBE).

a b c (Å): 3.122 3.122 6.352
angles (deg): 90.00 90.00 90.00
Space group P4/mmm (No. 123)
Symmetry-distinct sites (fractional):
Mn: 0.000 0.000 0.000
Re: 0.000 0.000 0.500
Se: 0.500 0.500 0.252

For the offset from the most stable computed form, the calculation gives 487.0 meV per atom. The value obtained for the formation energy without anion corrections is 0.35 eV/atom.